This record from Alexandria describes a relaxed structure of CsScBr3. The functional is GGA-PBE.

Summary:
Formation energy without anion corrections ... -1.27 eV/atom

Unit cell a=9.3631 b=9.3631 c=9.3631 alpha=135.67 beta=135.67 gamma=64.50
With the nearest neighbours (Å) after each atom.
Fractional coordinates of all 10 atoms:
1 Cs 0.1299 0.1299 0.0000  8 Br 3.68-4.02, 2 Sc 4.01, 1 Cs 4.12
2 Cs 0.8701 0.8701 0.0000  8 Br 3.68-4.02, 2 Sc 4.01, 1 Cs 4.12
3 Sc 0.5000 0.5000 0.0000  4 Br 2.78
4 Sc 0.7500 0.2500 0.5000  4 Br 2.54
5 Br 0.0651 0.5651 0.5000  2 Cs 3.68, 2 Sc 3.68, 6 Br 3.74-4.09
6 Br 0.1221 0.3603 0.7618  2 Sc 2.54-2.78
7 Br 0.4349 0.9349 0.5000  2 Cs 3.68, 2 Sc 3.68, 6 Br 3.74-4.09
8 Br 0.5984 0.3603 0.2382  2 Sc 2.54-2.78
9 Br 0.6397 0.4016 0.7618  2 Sc 2.54-2.78
10 Br 0.6397 0.8779 0.2382  2 Sc 2.54-2.78